Entry 1:
This record from Alexandria via LeMat-Bulk describes a geometry-optimized V2FeOsN structure. The functional is GGA-PBE.

## Properties
E_form (uncorrected) ... -394 meV per atom
M_tot ... 0.4 μB/f.u.

Cell and atoms, written as CIF:
```
data_V2FeOsN
_chemical_formula_sum 'V2 Fe1 Os1 N1'
_space_group_name_H-M_alt 'P 4/m m m'
_space_group_IT_number 123
_space_group_name_Hall '-P 4 2'
_cell_length_a 3.9241
_cell_length_b 3.9241
_cell_length_c 3.7062
_cell_angle_alpha 90.00
_cell_angle_beta 90.00
_cell_angle_gamma 90.00
loop_
_atom_site_label
_atom_site_fract_x
_atom_site_fract_y
_atom_site_fract_z
V1 0.0000 0.5000 0.0000
Fe1 0.0000 0.0000 0.5000
Os1 0.5000 0.5000 0.5000
N1 0.0000 0.0000 0.0000
```

Entry 2:
This record from Alexandria via LeMat-Bulk describes a geometry-optimized Pu2Ge2Se5 structure. The functional is GGA-PBE.

## Properties
E_form (uncorrected) ... -752 meV per atom
M_tot ... 10.0 μB/f.u.

Cell and atoms, written as CIF:
```
data_Pu2Ge2Se5
_chemical_formula_sum 'Pu4 Ge4 Se10'
_space_group_name_H-M_alt 'C 1 2/m 1'
_space_group_IT_number 12
_cell_length_a 14.3402
_cell_length_b 5.0553
_cell_length_c 8.3172
_cell_angle_alpha 90.00
_cell_angle_beta 125.43
_cell_angle_gamma 90.00
loop_
_space_group_symop_operation_xyz
'x,y,z'
'-x,-y,-z'
'-x,y,-z'
'x,-y,z'
'x+1/2,y+1/2,z'
'-x+1/2,-y+1/2,-z'
'-x+1/2,y+1/2,-z'
'x+1/2,-y+1/2,z'
loop_
_atom_site_label
_atom_site_fract_x
_atom_site_fract_y
_atom_site_fract_z
Pu1 0.1142 0.0000 0.2627
Ge1 0.1209 0.5000 0.8119
Se1 0.0000 0.5000 0.0000
Se2 0.1398 0.5000 0.4952
Se3 0.1409 0.0000 0.9351
```

Entry 3:
This record from Alexandria via LeMat-Bulk describes a geometry-optimized CrCuTe2Mo structure. The functional is GGA-PBE.

## Properties
E_form (uncorrected) ... 1047 meV per atom
M_tot ... 7.0 μB/f.u.

Cell and atoms, written as CIF:
```
data_CrCuTe2Mo
_chemical_formula_sum 'Cr1 Cu1 Te2 Mo1'
_space_group_name_H-M_alt 'P 4/m m m'
_space_group_IT_number 123
_space_group_name_Hall '-P 4 2'
_cell_length_a 5.1452
_cell_length_b 5.1452
_cell_length_c 4.5934
_cell_angle_alpha 90.00
_cell_angle_beta 90.00
_cell_angle_gamma 90.00
loop_
_atom_site_label
_atom_site_fract_x
_atom_site_fract_y
_atom_site_fract_z
Cr1 0.0000 0.0000 0.0000
Cu1 0.0000 0.0000 0.5000
Te1 0.0000 0.5000 0.0000
Mo1 0.5000 0.5000 0.5000
```

Entry 4:
This record from Alexandria via LeMat-Bulk describes a geometry-optimized PuUS2 structure. The functional is GGA-PBE.

## Properties
E_form (uncorrected) ... -1307 meV per atom
M_tot ... 9.0 μB/f.u.
E above lowest polymorph ... 0.242 eV/atom

Cell and atoms, written as CIF:
```
data_PuUS2
_chemical_formula_sum 'Pu2 U2 S4'
_space_group_name_H-M_alt 'A m m 2'
_space_group_IT_number 38
_cell_length_a 4.2168
_cell_length_b 3.6643
_cell_length_c 10.8839
_cell_angle_alpha 90.00
_cell_angle_beta 90.00
_cell_angle_gamma 90.00
loop_
_space_group_symop_operation_xyz
'x,y,z'
'-x,-y,z'
'-x,y,z'
'x,-y,z'
'x,y+1/2,z+1/2'
'-x,-y+1/2,z+1/2'
'-x,y+1/2,z+1/2'
'x,-y+1/2,z+1/2'
loop_
_atom_site_label
_atom_site_fract_x
_atom_site_fract_y
_atom_site_fract_z
Pu1 0.0000 0.0000 0.0000
U1 0.5000 0.0000 0.2489
S1 0.0000 0.0000 0.7477
S2 0.5000 0.0000 0.5037
```

Entry 5:
This record from Alexandria via LeMat-Bulk describes a geometry-optimized Pr3BeC2N6 structure. The functional is GGA-PBE.

## Properties
E_form (uncorrected) ... -573 meV per atom
M_tot ... 0.0 μB/f.u.

Cell and atoms, written as CIF:
```
data_Pr3BeC2N6
_chemical_formula_sum 'Pr3 Be1 C2 N6'
_space_group_name_H-M_alt 'P -3 m 1'
_space_group_IT_number 164
_space_group_name_Hall '-P 3 2"'
_cell_length_a 5.2416
_cell_length_b 5.2416
_cell_length_c 6.4919
_cell_angle_alpha 90.00
_cell_angle_beta 90.00
_cell_angle_gamma 120.00
loop_
_atom_site_label
_atom_site_fract_x
_atom_site_fract_y
_atom_site_fract_z
Pr1 0.0000 0.0000 0.0000
Pr2 0.3333 0.6667 0.6687
Be1 0.0000 0.0000 0.5000
C1 0.3333 0.6667 0.2870
N1 0.1818 0.3636 0.2963
```

Entry 6:
This record from Alexandria via LeMat-Bulk describes a geometry-optimized Mn2InAu structure. The functional is GGA-PBE.

## Properties
Electronic total energy ... -69.5 eV per cell
M_tot ... 6.6 μB/f.u.

Cell and atoms, written as CIF:
```
data_Mn2InAu
_chemical_formula_sum 'Mn6 In3 Au3'
_space_group_name_H-M_alt 'R 3 m'
_space_group_IT_number 160
_space_group_name_Hall 'R 3 -2"'
_cell_length_a 2.9739
_cell_length_b 2.9739
_cell_length_c 27.1159
_cell_angle_alpha 90.00
_cell_angle_beta 90.00
_cell_angle_gamma 120.00
loop_
_atom_site_label
_atom_site_fract_x
_atom_site_fract_y
_atom_site_fract_z
Mn1 0.0000 0.0000 0.0000
Mn2 0.0000 0.0000 0.2583
In1 0.0000 0.0000 0.7512
Au1 0.0000 0.0000 0.5108
```